The following is a GGA+U calculation of a relaxed structure of Pm2MgWO6, from Alexandria via LeMat-Bulk.

uncorrected energy = -7.689 eV/atom

Geometry as POSCAR:
```
Pm2MgWO6
1.0
-5.1967 1.9440 0.1363
-1.7486 -4.8588 2.6293
1.3215 3.3536 7.0763
Mg W O Pm
2 2 12 4
direct
0.5000 0.0000 0.0000
0.0000 0.5000 0.5000
0.5000 0.0000 0.5000
0.0000 0.5000 0.0000
0.1126 0.4609 0.7528
0.8072 0.7941 0.9406
0.6928 0.2941 0.5594
0.3078 0.7019 0.0588
0.3874 0.9609 0.7472
0.1928 0.2059 0.0594
0.1922 0.2019 0.4412
0.8078 0.7981 0.5588
0.8874 0.5391 0.2472
0.3072 0.7059 0.4406
0.6126 0.0391 0.2528
0.6922 0.2981 0.9412
0.4788 0.4386 0.2473
0.0212 0.9386 0.2527
0.9788 0.0614 0.7473
0.5212 0.5614 0.7527
```